(1)
Below is SbAs2BrO after structural relaxation, with properties calculated at the PBE level.

Results
Relative energy among the computed polymorphs   70.5 kJ/mol of atoms
Crystal system   tetragonal
Calculated total energy   -2.893 eV per atom
D(E_F)   4.62 states/eV per cell
Formation energy (no corrections)   1.117 eV per atom

Lattice parameters (Å, degrees): 5.415 5.415 5.681 90.00 90.00 90.00
Element x y z (fractional)
1 Sb 0.000 0.000 0.000
2 As 0.000 0.500 0.000
3 As 0.500 0.000 0.000
4 Br 0.000 0.000 0.500
5 O 0.500 0.500 0.500

(2)
Below is SbAs2BrO after structural relaxation, with properties calculated at the PBE level.

Results
Relative energy among the computed polymorphs   0.0 kJ/mol of atoms
Crystal system   tetragonal
Calculated total energy   -3.624 eV per atom
D(E_F)   2.88 states/eV per cell
Formation energy (no corrections)   0.386 eV per atom

Lattice parameters (Å, degrees): 4.554 4.554 4.731 90.00 90.00 90.00
Element x y z (fractional)
1 Sb 0.000 0.000 0.000
2 As 0.000 0.500 0.500
3 As 0.500 0.000 0.500
4 Br 0.500 0.500 0.000
5 O 0.500 0.500 0.500